#A
Entry from the Alexandria database: a relaxed La12Tb5Ho2 crystal (PBE-GGA).

CIF file:
```
data_La12Tb5Ho2
_chemical_formula_sum 'La24 Tb10 Ho4'
_symmetry_space_group_name_H-M 'C 1 2/m 1'
_symmetry_Int_Tables_number 12
_cell_length_a 15.273
_cell_length_b 10.860
_cell_length_c 8.197
_cell_angle_alpha 90.00
_cell_angle_beta 94.37
_cell_angle_gamma 90.00
loop_
_symmetry_equiv_pos_as_xyz
'x,y,z'
'-x,-y,-z'
'-x,y,-z'
'x,-y,z'
'x+1/2,y+1/2,z'
'-x+1/2,-y+1/2,-z'
'-x+1/2,y+1/2,-z'
'x+1/2,-y+1/2,z'
loop_
_atom_site_label
_atom_site_type_symbol
_atom_site_fract_x
_atom_site_fract_y
_atom_site_fract_z
La1 La 0.055 0.000 0.214
La2 La 0.107 0.226 0.885
La3 La 0.126 0.500 0.599
La4 La 0.181 0.278 0.290
Tb1 Tb 0.000 0.500 0.000
Tb2 Tb 0.158 0.000 0.598
Tb3 Tb 0.240 0.500 0.986
Ho1 Ho 0.000 0.224 0.500
```

***

#B
Entry from the Alexandria database: a relaxed La12Tb5Ho2 crystal (PBE-GGA).

CIF file:
```
data_La12Tb5Ho2
_chemical_formula_sum 'La24 Tb10 Ho4'
_symmetry_space_group_name_H-M 'C 1 2/m 1'
_symmetry_Int_Tables_number 12
_cell_length_a 19.506
_cell_length_b 7.651
_cell_length_c 10.081
_cell_angle_alpha 90.00
_cell_angle_beta 117.34
_cell_angle_gamma 90.00
loop_
_symmetry_equiv_pos_as_xyz
'x,y,z'
'-x,-y,-z'
'-x,y,-z'
'x,-y,z'
'x+1/2,y+1/2,z'
'-x+1/2,-y+1/2,-z'
'-x+1/2,y+1/2,-z'
'x+1/2,-y+1/2,z'
loop_
_atom_site_label
_atom_site_type_symbol
_atom_site_fract_x
_atom_site_fract_y
_atom_site_fract_z
La1 La 0.000 0.000 0.206
La2 La 0.015 0.500 0.348
La3 La 0.160 0.249 0.845
La4 La 0.165 0.231 0.495
Tb1 Tb 0.000 0.000 0.500
Tb2 Tb 0.174 0.000 0.167
Tb3 Tb 0.178 0.500 0.192
Ho1 Ho 0.000 0.302 0.000
```

***

Result of the stability comparison: #B is the least stable of them.

***

#A
Entry from the Alexandria database: a relaxed La3Tb2Ho crystal (PBE-GGA).

CIF file:
```
data_La3Tb2Ho
_chemical_formula_sum 'La6 Tb4 Ho2'
_symmetry_space_group_name_H-M 'C m m m'
_symmetry_Int_Tables_number 65
_symmetry_space_group_name_Hall '-C 2 2'
_cell_length_a 5.966
_cell_length_b 17.909
_cell_length_c 3.872
_cell_angle_alpha 90.00
_cell_angle_beta 90.00
_cell_angle_gamma 90.00
loop_
_atom_site_label
_atom_site_type_symbol
_atom_site_fract_x
_atom_site_fract_y
_atom_site_fract_z
La1 La 0.000 0.000 0.000
La2 La 0.000 0.335 0.000
Tb1 Tb 0.000 0.167 0.500
Ho1 Ho 0.000 0.500 0.500
```

***

#B
Entry from the Alexandria database: a relaxed La3Tb2Ho crystal (PBE-GGA).

CIF file:
```
data_La3Tb2Ho
_chemical_formula_sum 'La6 Tb4 Ho2'
_symmetry_space_group_name_H-M 'I m m m'
_symmetry_Int_Tables_number 71
_symmetry_space_group_name_Hall '-I 2 2'
_cell_length_a 3.484
_cell_length_b 6.033
_cell_length_c 19.757
_cell_angle_alpha 90.00
_cell_angle_beta 90.00
_cell_angle_gamma 90.00
loop_
_atom_site_label
_atom_site_type_symbol
_atom_site_fract_x
_atom_site_fract_y
_atom_site_fract_z
La1 La 0.000 0.000 0.000
La2 La 0.000 0.500 0.187
Tb1 Tb 0.000 0.500 0.363
Ho1 Ho 0.000 0.500 0.000
```

***

Result of the stability comparison: #B is the least stable of them.